First-principles (PBE) data for an optimized crystal structure of Hf4CuAg, as listed in Alexandria.

* DFT total energy: -7.932 eV/atom

Lattice parameters (Å, degrees): 3.194 3.194 11.651 90.00 90.00 90.00
Space group P4/mmm (No. 123)
Symmetry-distinct sites (fractional):
Hf1 0.000 0.000 0.150 (multiplicity 2)
Hf2 0.500 0.500 0.327 (multiplicity 2)
Cu1 0.500 0.500 0.000 (multiplicity 1)
Ag1 0.000 0.000 0.500 (multiplicity 1)

First-principles (PBE) data for an optimized crystal structure of HfCu2Ag, as listed in Alexandria.

* excess energy over the best structure of this formula in the dataset: 0.000 eV/f.u.

Lattice parameters (Å, degrees): 6.296 6.296 6.296 90.00 90.00 90.00
Space group Fm-3m (No. 225)
Symmetry-distinct sites (fractional):
Hf1 0.000 0.000 0.000 (multiplicity 4)
Cu1 0.250 0.250 0.250 (multiplicity 8)
Ag1 0.000 0.000 0.500 (multiplicity 4)

First-principles (PBE) data for an optimized crystal structure of Hf2CuAg, as listed in Alexandria.

* excess energy over the best structure of this formula in the dataset: 1.521 eV/f.u.

Lattice parameters (Å, degrees): 7.530 7.530 5.507 90.00 90.00 90.00
Space group I-42d (No. 122)
Symmetry-distinct sites (fractional):
Hf1 0.219 0.250 0.125 (multiplicity 8)
Cu1 0.000 0.000 0.000 (multiplicity 4)
Ag1 0.000 0.000 0.500 (multiplicity 4)

Taking the records one at a time from the top gives total magnetic moment values of 0.000 0.000 0.000 μB/f.u..